No. 1
MgHg3Au | SCAN | PBEsol geometry

Geometry as POSCAR:
```
MgHg3Au
1.0
5.2736 0.0000 0.0000
0.0000 5.2736 0.0000
0.0000 0.0000 5.2736
Mg Hg Au
1 3 1
Direct
0.0000 0.0000 0.0000 Mg
0.0000 0.5000 0.5000 Hg
0.5000 0.0000 0.5000 Hg
0.5000 0.5000 0.0000 Hg
0.5000 0.5000 0.5000 Au
```

Output
* magnetization: 0.0 μB per formula unit
* calculated formation energy: 0.20 eV per atom

No. 2
Mg2HgAu2 | SCAN | PBEsol geometry

Geometry as POSCAR:
```
Mg2HgAu2
1.0
7.5681 0.0000 0.0000
0.0000 7.5681 0.0000
0.0000 0.0000 3.2829
Mg Hg Au
4 2 4
Direct
0.1611 0.3389 0.0000 Mg
0.3389 0.8389 0.0000 Mg
0.6611 0.1611 0.0000 Mg
0.8389 0.6611 0.0000 Mg
0.0000 0.0000 0.5000 Hg
0.5000 0.5000 0.5000 Hg
0.1352 0.6352 0.5000 Au
0.3648 0.1352 0.5000 Au
0.6352 0.8648 0.5000 Au
0.8648 0.3648 0.5000 Au
```

Output
* magnetization: 0.0 μB per formula unit
* calculated formation energy: -0.58 eV per atom

No. 3
MgHgAu2 | SCAN | PBEsol geometry

Geometry as POSCAR:
```
MgHgAu2
1.0
0.0000 2.9109 4.2424
2.9004 0.0000 4.2424
2.9004 2.9109 0.0000
Mg Hg Au
1 1 2
Direct
0.0000 0.0000 0.0000 Mg
0.7500 0.7500 0.7500 Hg
0.2500 0.2500 0.2500 Au
0.5000 0.5000 0.5000 Au
```

Output
* magnetization: 0.0 μB per formula unit
* calculated formation energy: -0.35 eV per atom

No. 4
MnHgAu | SCAN | PBEsol geometry

Geometry as POSCAR:
```
MnHgAu
1.0
-1.5305 1.5305 5.5019
1.5305 -1.5305 5.5019
1.5305 1.5305 -5.5019
Mn Hg Au
1 1 1
Direct
0.0000 0.0000 0.0000 Mn
0.3330 0.3330 0.0000 Hg
0.6465 0.6465 0.0000 Au
```

Output
* magnetization: 4.2 μB per formula unit
* calculated formation energy: -0.19 eV per atom

No. 5
MnHg2Au | SCAN | PBEsol geometry

Geometry as POSCAR:
```
MnHg2Au
1.0
3.2546 0.0000 0.0000
0.0000 3.4957 0.0000
0.0000 0.0000 6.3244
Mn Hg Au
1 2 1
Direct
0.0000 0.0000 0.0000 Mn
0.5000 0.5000 0.2406 Hg
0.5000 0.5000 0.7594 Hg
0.0000 0.0000 0.5000 Au
```

Output
* magnetization: 4.3 μB per formula unit
* calculated formation energy: 0.00 eV per atom

No. 6
MnHgAu | SCAN | PBEsol geometry

Geometry as POSCAR:
```
MnHgAu
1.0
4.5886 0.0000 0.0000
-2.2943 3.9738 0.0000
0.0000 0.0000 2.8500
Mn Hg Au
1 1 1
Direct
0.0000 0.0000 0.0000 Mn
0.6667 0.3333 0.6024 Hg
0.3333 0.6667 0.3637 Au
```

Output
* magnetization: 4.3 μB per formula unit
* calculated formation energy: -0.07 eV per atom

No. 7
Na2MnHgAu | SCAN | PBEsol geometry

Geometry as POSCAR:
```
Na2MnHgAu
1.0
5.4191 0.0000 0.0000
0.0000 5.4191 0.0000
0.0000 0.0000 4.9520
Na Mn Hg Au
2 1 1 1
Direct
0.0000 0.5000 0.0000 Na
0.5000 0.0000 0.0000 Na
0.0000 0.0000 0.0000 Mn
0.0000 0.0000 0.5000 Hg
0.5000 0.5000 0.5000 Au
```

Output
* magnetization: 4.3 μB per formula unit
* calculated formation energy: 0.52 eV per atom

No. 8
HgMo2Au | SCAN | PBEsol geometry

Geometry as POSCAR:
```
HgMo2Au
1.0
1.6218 -2.2554 0.0000
1.6218 2.2554 0.0000
0.0000 0.0000 9.2741
Hg Mo Au
1 2 1
Direct
0.0000 0.0000 0.0000 Hg
0.0000 0.0000 0.5169 Mo
0.5000 0.5000 0.7368 Mo
0.5000 0.5000 0.2704 Au
```

Output
* magnetization: 0.0 μB per formula unit
* calculated formation energy: 0.26 eV per atom